Entry 1:
Compound: TaC3
Source: Alexandria
Functional: PBE
Structure: relaxed

Structure (POSCAR):
```
TaC3
1.0
1.546 1.201 -4.875
-4.372 -0.300 2.896
0.486 4.055 1.153
Ta C
2 6
direct
0.602 0.398 0.750
0.398 0.602 0.250
0.300 0.700 0.750
0.700 0.300 0.250
0.708 0.899 0.750
0.292 0.101 0.250
0.899 0.708 0.250
0.101 0.292 0.750
```

Results
ΔH_f (0 K), meV/atom: 699
ΔE to the lowest computed polymorph, eV/atom: 0.111
E, eV per atom: -9.182
Magnetic moment, μB/atom: 0.0000
Symmetry: No. 63

***

Entry 2:
Compound: Ta4C
Source: Alexandria
Functional: PBE
Structure: relaxed

Structure (POSCAR):
```
Ta4C
1.0
-2.056 0.798 -2.042
-0.342 -2.545 1.562
-5.378 5.319 7.490
Ta C
4 1
direct
0.667 0.333 0.383
0.333 0.667 0.617
0.667 0.333 0.121
0.333 0.667 0.879
0.000 0.000 0.000
```

Results
ΔH_f (0 K), meV/atom: 183
ΔE to the lowest computed polymorph, eV/atom: 0.327
E, eV per atom: -11.144
Magnetic moment, μB/atom: 0.0000
Symmetry: No. 164

***

Entry 3:
Compound: Ta4C
Source: Alexandria
Functional: PBE
Structure: relaxed

Structure (POSCAR):
```
Ta4C
1.0
-4.247 0.085 0.852
0.823 -0.772 4.182
0.234 4.262 0.740
C Ta
1 4
direct
0.500 0.500 0.500
0.000 0.000 0.000
0.500 0.000 0.500
0.000 0.500 0.500
0.500 0.500 0.000
```

Results
ΔH_f (0 K), meV/atom: -144
ΔE to the lowest computed polymorph, eV/atom: 0.000
E, eV per atom: -11.470
Magnetic moment, μB/atom: 0.0000
Symmetry: No. 221

***

Entry 4:
Compound: Ta4C3
Source: Alexandria
Functional: PBE
Structure: relaxed

Structure (POSCAR):
```
Ta4C3
1.0
-1.460 -0.562 -4.160
-3.383 -2.450 1.519
-2.485 3.665 0.377
Ta C
4 3
direct
0.000 0.000 0.000
0.000 0.500 0.500
0.500 0.000 0.500
0.500 0.500 0.000
0.000 0.500 0.000
0.000 0.000 0.500
0.500 0.000 0.000
```

Results
ΔH_f (0 K), meV/atom: -455
ΔE to the lowest computed polymorph, eV/atom: 0.101
E, eV per atom: -11.181
Magnetic moment, μB/atom: 0.0000
Symmetry: No. 221